Compound: ZrScTi2S
Source: the Alexandria database
Functional: PBE-GGA
Structure: optimized geometry

Cell lengths 4.693, 4.693, 4.703 Å; angles 90.00, 90.00, 90.00 degrees
Sites, in units of the cell vectors:
Zr1 0.000 0.000 0.000
Sc1 0.500 0.500 0.500
Ti1 0.000 0.500 0.500
Ti2 0.500 0.000 0.500
S1 0.500 0.500 0.000

Properties
The uncorrected formation energy is 0.7227 eV per atom. For the mass density, the calculation gives 4.23 g/cm3. The calculation puts the total energy at -0.4584 Ry per atom.



Compound: Mg2IrAu
Source: the Alexandria database
Functional: PBE-GGA
Structure: optimized geometry

Cell lengths 5.163, 5.163, 4.603 Å; angles 106.65, 106.65, 35.18 degrees
Sites, in units of the cell vectors:
Mg1 0.000 0.000 0.000
Mg2 0.222 0.222 0.628
Ir1 0.485 0.485 0.504
Au1 0.746 0.746 0.140

Properties
For the mass density, the calculation gives 10.78 g/cm3. As for the energy of formation from the pure elements: -0.359 eV/atom. The calculation puts the total energy at -0.3080 Ry per atom.



Compound: LiAc4In
Source: the Alexandria database
Functional: PBE-GGA
Structure: optimized geometry

Cell lengths 12.276, 12.276, 7.225 Å; angles 90.00, 90.00, 152.52 degrees
Sites, in units of the cell vectors:
Li1 0.075 0.925 0.500
Li2 0.925 0.075 0.000
Ac1 0.063 0.937 0.009
Ac2 0.195 0.805 0.724
Ac3 0.214 0.786 0.206
Ac4 0.374 0.626 0.940
Ac5 0.626 0.374 0.440
Ac6 0.786 0.214 0.706
Ac7 0.805 0.195 0.224
Ac8 0.937 0.063 0.509
In1 0.345 0.655 0.461
In2 0.655 0.345 0.961

Properties
For the mass density, the calculation gives 6.81 g/cm3. As for the energy of formation from the pure elements: 0.116 eV/atom. The calculation puts the total energy at -0.2498 Ry per atom.



Compound: Ba2Al2H
Source: the Alexandria database
Functional: PBE-GGA
Structure: optimized geometry

Cell lengths 9.478, 9.478, 4.070 Å; angles 90.00, 90.00, 90.00 degrees
Sites, in units of the cell vectors:
Ba1 0.196 0.304 0.000
Ba2 0.304 0.804 0.000
Ba3 0.696 0.196 0.000
Ba4 0.804 0.696 0.000
Al1 0.093 0.593 0.500
Al2 0.407 0.093 0.500
Al3 0.593 0.907 0.500
Al4 0.907 0.407 0.500
H1 0.000 0.000 0.500
H2 0.500 0.500 0.500

Properties
For the mass density, the calculation gives 2.99 g/cm3. The calculation puts the total energy at -0.1941 Ry per atom. The energy above the most stable polymorph in this dataset is 0 kJ/mol of formula units.



Compound: Sc8CdRh2
Source: the Alexandria database
Functional: PBE-GGA
Structure: optimized geometry

Cell lengths 8.424, 8.424, 8.424 Å; angles 146.23, 57.86, 134.49 degrees
Sites, in units of the cell vectors:
Sc1 0.000 0.000 0.000
Sc2 0.075 0.408 0.667
Sc3 0.161 0.871 0.290
Sc4 0.276 0.776 0.500
Sc5 0.443 0.556 0.887
Sc6 0.581 0.871 0.710
Sc7 0.668 0.556 0.113
Sc8 0.741 0.408 0.333
Cd1 0.703 0.203 0.500
Rh1 0.003 0.174 0.829
Rh2 0.345 0.174 0.171

Properties
For the mass density, the calculation gives 4.79 g/cm3. As for the energy of formation from the pure elements: -0.424 eV/atom. The calculation puts the total energy at -0.4740 Ry per atom.



Compound: Sm2Th3C4
Source: the Alexandria database
Functional: PBE-GGA
Structure: optimized geometry

Cell lengths 6.541, 6.541, 9.280 Å; angles 118.96, 118.96, 33.37 degrees
Sites, in units of the cell vectors:
Sm1 0.110 0.110 0.388
Sm2 0.890 0.890 0.612
Th1 0.298 0.298 0.195
Th2 0.500 0.500 0.000
Th3 0.702 0.702 0.805
C1 0.111 0.111 0.913
C2 0.301 0.301 0.701
C3 0.699 0.699 0.299
C4 0.889 0.889 0.087

Properties
For the mass density, the calculation gives 9.21 g/cm3. As for the energy of formation from the pure elements: -0.230 eV/atom. The calculation puts the total energy at -0.5770 Ry per atom.



Compound: TaRu3C
Source: the Alexandria database
Functional: PBE-GGA
Structure: optimized geometry

Cell lengths 4.058, 4.058, 4.058 Å; angles 90.00, 90.00, 90.00 degrees
Sites, in units of the cell vectors:
Ta1 0.000 0.000 0.000
Ru1 0.000 0.500 0.500
Ru2 0.500 0.000 0.500
Ru3 0.500 0.500 0.000
C1 0.500 0.500 0.500

Properties
For the mass density, the calculation gives 12.33 g/cm3. As for the energy of formation from the pure elements: -0.079 eV/atom. The calculation puts the total energy at -0.7246 Ry per atom. The energy above the most stable polymorph in this dataset is 0 kJ/mol of formula units.



Compound: MnCoTcHOs
Source: the Alexandria database
Functional: PBE-GGA
Structure: optimized geometry

Cell lengths 4.983, 4.983, 4.548 Å; angles 116.16, 116.16, 31.44 degrees
Sites, in units of the cell vectors:
Mn1 0.000 0.000 0.000
Co1 0.756 0.756 0.422
Tc1 0.501 0.501 0.495
H1 0.622 0.622 0.999
Os1 0.262 0.262 0.914

Properties
For the mass density, the calculation gives 12.78 g/cm3. The calculation puts the total energy at -0.6015 Ry per atom. The energy above the most stable polymorph in this dataset is 28 kJ/mol of formula units.



Compound: Ti2CdAg2
Source: the Alexandria database
Functional: PBE-GGA
Structure: optimized geometry

Cell lengths 8.191, 8.191, 2.826 Å; angles 90.00, 90.00, 90.00 degrees
Sites, in units of the cell vectors:
Ti1 0.113 0.387 0.000
Ti2 0.387 0.887 0.000
Ti3 0.613 0.113 0.000
Ti4 0.887 0.613 0.000
Cd1 0.000 0.000 0.000
Cd2 0.500 0.500 0.000
Ag1 0.179 0.679 0.500
Ag2 0.321 0.179 0.500
Ag3 0.679 0.821 0.500
Ag4 0.821 0.321 0.500

Properties
For the mass density, the calculation gives 7.43 g/cm3. As for the energy of formation from the pure elements: 0.250 eV/atom. The calculation puts the total energy at -0.3110 Ry per atom. The energy above the most stable polymorph in this dataset is 50 kJ/mol of formula units.



Compound: Li3PdAu5
Source: the Alexandria database
Functional: PBE-GGA
Structure: optimized geometry

Cell lengths 7.639, 7.639, 7.639 Å; angles 122.32, 122.32, 86.02 degrees
Sites, in units of the cell vectors:
Li1 0.098 0.598 0.697
Li2 0.250 0.250 0.000
Li3 0.402 0.098 0.500
Li4 0.598 0.902 0.500
Li5 0.750 0.750 0.000
Li6 0.902 0.402 0.303
Pd1 0.250 0.750 0.500
Pd2 0.750 0.250 0.500
Au1 0.000 0.000 0.000
Au2 0.090 0.154 0.500
Au3 0.154 0.654 0.064
Au4 0.346 0.410 0.500
Au5 0.410 0.910 0.064
Au6 0.500 0.500 0.000
Au7 0.590 0.090 0.936
Au8 0.654 0.590 0.500
Au9 0.846 0.346 0.936
Au10 0.910 0.846 0.500

Properties
For the mass density, the calculation gives 12.18 g/cm3. As for the energy of formation from the pure elements: -0.229 eV/atom. The calculation puts the total energy at -0.2399 Ry per atom. The energy above the most stable polymorph in this dataset is 154 kJ/mol of formula units.



Compound: LaTaOs2
Source: the Alexandria database
Functional: PBE-GGA
Structure: optimized geometry

Cell lengths 4.679, 4.679, 4.679 Å; angles 60.00, 60.00, 60.00 degrees
Sites, in units of the cell vectors:
La1 0.000 0.000 0.000
Ta1 0.250 0.250 0.250
Os1 0.500 0.500 0.500
Os2 0.750 0.750 0.750

Properties
For the mass density, the calculation gives 16.06 g/cm3. As for the energy of formation from the pure elements: 0.485 eV/atom. The calculation puts the total energy at -0.6854 Ry per atom.



Compound: HgBi2Au
Source: the Alexandria database
Functional: PBE-GGA
Structure: optimized geometry

Cell lengths 7.603, 7.603, 7.603 Å; angles 33.34, 33.34, 33.34 degrees
Sites, in units of the cell vectors:
Hg1 0.000 0.000 0.000
Bi1 0.233 0.233 0.233
Bi2 0.767 0.767 0.767
Au1 0.500 0.500 0.500

Properties
For the mass density, the calculation gives 11.46 g/cm3. As for the energy of formation from the pure elements: 0.014 eV/atom. The calculation puts the total energy at -0.2073 Ry per atom.



Compound: BaHfRe3
Source: the Alexandria database
Functional: PBE-GGA
Structure: optimized geometry

Cell lengths 4.909, 4.909, 4.909 Å; angles 90.00, 90.00, 90.00 degrees
Sites, in units of the cell vectors:
Ba1 0.000 0.000 0.000
Hf1 0.500 0.500 0.500
Re1 0.000 0.000 0.500
Re2 0.000 0.500 0.000
Re3 0.500 0.000 0.000

Properties
For the mass density, the calculation gives 12.28 g/cm3. As for the energy of formation from the pure elements: 3.401 eV/atom. The calculation puts the total energy at -0.4736 Ry per atom. The energy above the most stable polymorph in this dataset is 683 kJ/mol of formula units.



Compound: BaAcPt2
Source: the Alexandria database
Functional: PBE-GGA
Structure: optimized geometry

Cell lengths 3.830, 3.830, 7.693 Å; angles 90.00, 90.00, 90.00 degrees
Sites, in units of the cell vectors:
Ba1 0.000 0.000 0.000
Ac1 0.000 0.000 0.500
Pt1 0.500 0.500 0.286
Pt2 0.500 0.500 0.714

Properties
For the mass density, the calculation gives 11.10 g/cm3. As for the energy of formation from the pure elements: -0.902 eV/atom. The calculation puts the total energy at -0.3991 Ry per atom. The energy above the most stable polymorph in this dataset is 8 kJ/mol of formula units.



Compound: LiW2Cl
Source: the Alexandria database
Functional: PBE-GGA
Structure: optimized geometry

Cell lengths 2.783, 2.783, 9.331 Å; angles 90.00, 90.00, 116.32 degrees
Sites, in units of the cell vectors:
Li1 0.000 0.000 0.000
W1 0.500 0.500 0.262
W2 0.500 0.500 0.738
Cl1 0.000 0.000 0.500

Properties
The uncorrected formation energy is 0.8399 eV per atom. For the mass density, the calculation gives 10.51 g/cm3. The calculation puts the total energy at -0.4834 Ry per atom. The energy above the most stable polymorph in this dataset is 306 kJ/mol of formula units.



Compound: Tl2HgMo
Source: the Alexandria database
Functional: PBE-GGA
Structure: optimized geometry

Cell lengths 7.698, 7.698, 7.698 Å; angles 157.76, 142.61, 43.93 degrees
Sites, in units of the cell vectors:
Tl1 0.179 0.179 0.000
Tl2 0.821 0.821 0.000
Hg1 0.500 0.000 0.500
Mo1 0.000 0.500 0.500

Properties
For the mass density, the calculation gives 11.20 g/cm3. As for the energy of formation from the pure elements: 0.568 eV/atom. The calculation puts the total energy at -0.2498 Ry per atom. The energy above the most stable polymorph in this dataset is 7 kJ/mol of formula units.



Compound: Rb3TaRh2Se6
Source: the Alexandria database
Functional: PBE-GGA
Structure: optimized geometry

Cell lengths 6.861, 6.861, 7.886 Å; angles 98.35, 98.35, 119.97 degrees
Sites, in units of the cell vectors:
Rb1 0.000 0.000 0.000
Rb2 0.334 0.666 0.000
Rb3 0.666 0.334 0.000
Ta1 0.500 0.500 0.500
Rh1 0.167 0.833 0.500
Rh2 0.833 0.167 0.500
Se1 0.104 0.444 0.332
Se2 0.215 0.215 0.667
Se3 0.444 0.104 0.332
Se4 0.556 0.896 0.668
Se5 0.785 0.785 0.333
Se6 0.896 0.556 0.668

Properties
The uncorrected formation energy is -0.6653 eV per atom. For the mass density, the calculation gives 6.03 g/cm3. The calculation puts the total energy at -0.3574 Ry per atom.



Compound: Ac2UGe3Pt12
Source: the Alexandria database
Functional: PBE-GGA
Structure: optimized geometry

Cell lengths 8.208, 8.208, 8.208 Å; angles 60.79, 60.79, 60.79 degrees
Sites, in units of the cell vectors:
Ac1 0.106 0.106 0.106
Ac2 0.894 0.894 0.894
U1 0.500 0.500 0.500
Ge1 0.000 0.500 0.500
Ge2 0.500 0.000 0.500
Ge3 0.500 0.500 0.000
Pt1 0.113 0.632 0.632
Pt2 0.145 0.145 0.597
Pt3 0.145 0.597 0.145
Pt4 0.368 0.368 0.887
Pt5 0.368 0.887 0.368
Pt6 0.403 0.855 0.855
Pt7 0.597 0.145 0.145
Pt8 0.632 0.113 0.632
Pt9 0.632 0.632 0.113
Pt10 0.855 0.403 0.855
Pt11 0.855 0.855 0.403
Pt12 0.887 0.368 0.368

Properties
For the mass density, the calculation gives 13.57 g/cm3. As for the energy of formation from the pure elements: -0.392 eV/atom. The calculation puts the total energy at -0.4610 Ry per atom.



Compound: Sc3TlN
Source: the Alexandria database
Functional: PBE-GGA
Structure: optimized geometry

Cell lengths 8.154, 5.883, 8.766 Å; angles 90.00, 113.84, 90.00 degrees
Sites, in units of the cell vectors:
Sc1 0.052 0.073 0.354
Sc2 0.052 0.427 0.854
Sc3 0.183 0.565 0.538
Sc4 0.183 0.935 0.038
Sc5 0.343 0.144 0.761
Sc6 0.343 0.356 0.261
Sc7 0.657 0.644 0.739
Sc8 0.657 0.856 0.239
Sc9 0.817 0.065 0.962
Sc10 0.817 0.435 0.462
Sc11 0.948 0.573 0.146
Sc12 0.948 0.927 0.646
Tl1 0.390 0.681 0.890
Tl2 0.390 0.819 0.390
Tl3 0.610 0.181 0.610
Tl4 0.610 0.319 0.110
N1 0.070 0.248 0.591
N2 0.070 0.252 0.091
N3 0.930 0.748 0.909
N4 0.930 0.752 0.409

Properties
The uncorrected formation energy is -0.7741 eV per atom. For the mass density, the calculation gives 6.10 g/cm3. The calculation puts the total energy at -0.4933 Ry per atom.



Compound: KMoS2N
Source: the Alexandria database
Functional: PBE-GGA
Structure: optimized geometry

Cell lengths 5.071, 5.071, 3.872 Å; angles 90.00, 90.00, 90.00 degrees
Sites, in units of the cell vectors:
K1 0.000 0.000 0.000
Mo1 0.500 0.500 0.500
S1 0.000 0.500 0.000
S2 0.500 0.000 0.000
N1 0.000 0.000 0.500

Properties
The uncorrected formation energy is 2.5482 eV per atom. For the mass density, the calculation gives 3.56 g/cm3. The calculation puts the total energy at -0.2318 Ry per atom. The energy above the most stable polymorph in this dataset is 1387 kJ/mol of formula units.



Compound: RbGa2TcSb
Source: the Alexandria database
Functional: PBE-GGA
Structure: optimized geometry

Cell lengths 5.015, 5.015, 5.212 Å; angles 90.00, 90.00, 90.00 degrees
Sites, in units of the cell vectors:
Rb1 0.000 0.000 0.000
Ga1 0.000 0.500 0.500
Ga2 0.500 0.000 0.500
Tc1 0.500 0.500 0.500
Sb1 0.500 0.500 0.000

Properties
The uncorrected formation energy is -0.0913 eV per atom. For the mass density, the calculation gives 5.63 g/cm3. The calculation puts the total energy at -0.3229 Ry per atom. The energy above the most stable polymorph in this dataset is 0 kJ/mol of formula units.



Compound: Hf2PaMnC4
Source: the Alexandria database
Functional: PBE-GGA
Structure: optimized geometry

Cell lengths 5.855, 5.855, 11.069 Å; angles 90.00, 90.00, 147.25 degrees
Sites, in units of the cell vectors:
Hf1 0.131 0.869 0.546
Hf2 0.131 0.869 0.954
Hf3 0.869 0.131 0.046
Hf4 0.869 0.131 0.454
Pa1 0.401 0.599 0.750
Pa2 0.599 0.401 0.250
Mn1 0.338 0.662 0.250
Mn2 0.662 0.338 0.750
C1 0.069 0.931 0.750
C2 0.233 0.767 0.125
C3 0.233 0.767 0.375
C4 0.500 0.500 0.000
C5 0.500 0.500 0.500
C6 0.767 0.233 0.625
C7 0.767 0.233 0.875
C8 0.931 0.069 0.250

Properties
For the mass density, the calculation gives 11.18 g/cm3. As for the energy of formation from the pure elements: -0.491 eV/atom. The calculation puts the total energy at -0.7294 Ry per atom.



Compound: CdPRu2
Source: the Alexandria database
Functional: PBE-GGA
Structure: optimized geometry

Cell lengths 3.023, 4.266, 4.825 Å; angles 90.00, 90.00, 90.00 degrees
Sites, in units of the cell vectors:
Cd1 0.000 0.000 0.000
P1 0.500 0.000 0.500
Ru1 0.000 0.500 0.500
Ru2 0.500 0.500 0.000

Properties
For the mass density, the calculation gives 9.22 g/cm3. As for the energy of formation from the pure elements: 0.551 eV/atom. The calculation puts the total energy at -0.4166 Ry per atom. The energy above the most stable polymorph in this dataset is 262 kJ/mol of formula units.



Compound: ZrTlAg2Br
Source: the Alexandria database
Functional: PBE-GGA
Structure: optimized geometry

Cell lengths 5.112, 5.112, 5.092 Å; angles 90.00, 90.00, 90.00 degrees
Sites, in units of the cell vectors:
Zr1 0.000 0.000 0.000
Tl1 0.500 0.500 0.000
Ag1 0.000 0.500 0.500
Ag2 0.500 0.000 0.500
Br1 0.000 0.000 0.500

Properties
The uncorrected formation energy is 0.6120 eV per atom. For the mass density, the calculation gives 7.38 g/cm3. The calculation puts the total energy at -0.2239 Ry per atom.